[1]
Entry from Alexandria: a PBEsol-optimized structure of PrGa2 (SCAN).

Unit cell a=4.240 b=4.240 c=4.254 alpha=90.00 beta=90.00 gamma=120.00
Sites, in units of the cell vectors:
Pr (0.000, 0.000, 0.000)
Ga (0.333, 0.667, 0.500)
Ga (0.667, 0.333, 0.500)

Properties
For the total magnetic moment, the calculation gives 0.0 μB per cell. The total energy comes out at -26.18 eV/atom. As for the theoretical density: 7.031 g cm⁻³. Its crystal system is hexagonal.


[2]
Entry from Alexandria: a PBEsol-optimized structure of BaMgW2 (SCAN).

Unit cell a=2.867 b=5.208 c=5.498 alpha=90.00 beta=90.00 gamma=90.00
Sites, in units of the cell vectors:
Ba (0.000, 0.000, 0.000)
Mg (0.500, 0.500, 0.000)
W (0.000, 0.500, 0.500)
W (0.500, 0.000, 0.500)

Properties
For the total magnetic moment, the calculation gives 0.0 μB per cell. The total energy comes out at -44.51 eV/atom. As for the theoretical density: 10.708 g cm⁻³. Its crystal system is orthorhombic.


In the order shown, the computed DOS at the Fermi energy values come out to 1.34, 2.33 states/eV/f.u..